Entry 1:
Entry from the Alexandria database: Tm2In8Co after structural relaxation (PBE).

Output
crystal system: tetragonal
total DFT energy (no corrections): -3.713 eV/atom
DOS at the Fermi energy: 5.73 states/eV/f.u.
spin magnetization: 0.00 μB per cell

abc: 4.5752 4.5752 12.1145
angles: 90.00 90.00 90.00
Last column: nearest neighbours and their distance in Å.
Sites, in units of the cell vectors:
Tm (0.0000, 0.0000, 0.1933)  12 In 3.22-3.27
Tm (0.0000, 0.0000, 0.8067)  12 In 3.22-3.27
In (0.0000, 0.5000, 0.0000)  8 In 3.24-3.26, 4 Tm 3.27
In (0.0000, 0.5000, 0.3804)  2 Co 2.71, 1 In 2.90
In (0.0000, 0.5000, 0.6196)  2 Co 2.71, 1 In 2.90
In (0.5000, 0.0000, 0.0000)  8 In 3.24-3.26, 4 Tm 3.27
In (0.5000, 0.0000, 0.3804)  2 Co 2.71, 1 In 2.90
In (0.5000, 0.0000, 0.6196)  2 Co 2.71, 1 In 2.90
In (0.5000, 0.5000, 0.1917)  8 In 3.23-3.26, 4 Tm 3.24
In (0.5000, 0.5000, 0.8083)  8 In 3.23-3.26, 4 Tm 3.24
Co (0.0000, 0.0000, 0.5000)  8 In 2.71

=====

Entry 2:
Entry from the Alexandria database: Ba2AgP after structural relaxation (PBE).

Output
crystal system: trigonal
total DFT energy (no corrections): -3.680 eV/atom
spin magnetization: 0.00 μB per cell

abc: 8.6394 8.6394 8.6394
angles: 31.68 31.68 31.68
Last column: nearest neighbours and their distance in Å.
Sites, in units of the cell vectors:
Ba (0.2354, 0.2354, 0.2354)  3 P 3.21
Ba (0.7646, 0.7646, 0.7646)  3 P 3.21
Ag (0.0000, 0.0000, 0.0000)  6 Ba 3.64
P (0.5000, 0.5000, 0.5000)  6 Ba 3.21

=====

Entry 3:
Entry from the Alexandria database: Li2TbTiSe4 after structural relaxation (PBE).

Output
crystal system: monoclinic
total DFT energy (no corrections): -5.190 eV/atom
DOS at the Fermi energy: 3.63 states/eV/f.u.
spin magnetization: 1.01 μB per cell

abc: 6.7625 3.8869 6.8538
angles: 90.00 109.14 90.00
Last column: nearest neighbours and their distance in Å.
Sites, in units of the cell vectors:
Li (0.0000, 0.0000, 0.0000)  6 Se 2.86-2.87
Li (0.5000, 0.5000, 0.0000)  6 Se 2.71
Tb (0.0000, 0.5000, 0.5000)  6 Se 2.83-2.84
Ti (0.5000, 0.0000, 0.5000)  6 Se 2.68
Se (0.2700, 0.0000, 0.7521)  1 Ti 2.68, 3 Li 2.71-2.87, 2 Tb 2.83
Se (0.2715, 0.5000, 0.2597)  2 Ti 2.68, 3 Li 2.71-2.86, 1 Tb 2.84
Se (0.7285, 0.5000, 0.7403)  2 Ti 2.68, 3 Li 2.71-2.86, 1 Tb 2.84
Se (0.7300, 0.0000, 0.2479)  1 Ti 2.68, 3 Li 2.71-2.87, 2 Tb 2.83

=====

Entry 4:
Entry from the Alexandria database: La3Y3Er after structural relaxation (PBE).

Output
crystal system: trigonal
total DFT energy (no corrections): -5.395 eV/atom
DOS at the Fermi energy: 10.51 states/eV/f.u.
spin magnetization: 0.00 μB per cell

abc: 8.3236 8.3236 8.3236
angles: 69.54 69.54 69.54
Last column: nearest neighbours and their distance in Å.
Sites, in units of the cell vectors:
La (0.1304, 0.2674, 0.8330)  5 Y 3.43-3.67, 1 Er 3.54, 4 La 3.58-3.65
La (0.1670, 0.8696, 0.7326)  5 Y 3.43-3.67, 1 Er 3.54, 4 La 3.58-3.65
La (0.2674, 0.8330, 0.1304)  5 Y 3.43-3.67, 1 Er 3.54, 4 La 3.58-3.65
La (0.7326, 0.1670, 0.8696)  5 Y 3.43-3.67, 1 Er 3.54, 4 La 3.58-3.65
La (0.8330, 0.1304, 0.2674)  5 Y 3.43-3.67, 1 Er 3.54, 4 La 3.58-3.65
La (0.8696, 0.7326, 0.1670)  5 Y 3.43-3.67, 1 Er 3.54, 4 La 3.58-3.65
Y (0.0237, 0.3111, 0.4443)  5 La 3.43-3.67, 3 Y 3.44-3.54, 2 Er 3.46-3.60
Y (0.3111, 0.4443, 0.0237)  5 La 3.43-3.67, 3 Y 3.44-3.54, 2 Er 3.46-3.60
Y (0.4443, 0.0237, 0.3111)  5 La 3.43-3.67, 3 Y 3.44-3.54, 2 Er 3.46-3.60
Y (0.5557, 0.9763, 0.6889)  5 La 3.43-3.67, 3 Y 3.44-3.54, 2 Er 3.46-3.60
Y (0.6889, 0.5557, 0.9763)  5 La 3.43-3.67, 3 Y 3.44-3.54, 2 Er 3.46-3.60
Y (0.9763, 0.6889, 0.5557)  5 La 3.43-3.67, 3 Y 3.44-3.54, 2 Er 3.46-3.60
Er (0.4086, 0.4086, 0.4086)  1 Er 3.44, 6 Y 3.46-3.60, 3 La 3.54
Er (0.5914, 0.5914, 0.5914)  1 Er 3.44, 6 Y 3.46-3.60, 3 La 3.54